The following is a PBE calculation of an optimized crystal structure of HgP2H6Cl, from Alexandria.

abc: 7.361 7.361 6.579
angles: 99.89 99.89 117.02
Element x y z (fractional)
Hg  0.059  0.941  0.750
Hg  0.941  0.059  0.250
P  0.103  0.334  0.670
P  0.334  0.103  0.170
P  0.666  0.897  0.830
P  0.897  0.666  0.330
H  0.073  0.633  0.322
H  0.222  0.498  0.583
H  0.223  0.432  0.895
H  0.367  0.927  0.178
H  0.432  0.223  0.395
H  0.498  0.222  0.083
H  0.502  0.778  0.917
H  0.568  0.777  0.605
H  0.633  0.073  0.822
H  0.777  0.568  0.105
H  0.778  0.502  0.417
H  0.927  0.367  0.678
Cl  0.392  0.608  0.250
Cl  0.608  0.392  0.750

Spin magnetization in μB/atom: 0.000
SG: No. 15
Total DFT energy (no corrections) in eV/cell: -67.16
ρ in g/cm3: 3.37